Here is a relaxed structure of TbBi from OQMD. Energies are from PBE-GGA.

Properties
E (eV per atom): -4.91
Magnetic moment (μB per cell): 0.036

Geometry as CIF:
```
data_TbBi
_chemical_formula_sum 'Tb4 Bi4'
_cell_length_a 6.569
_cell_length_b 6.086
_cell_length_c 6.119
_cell_angle_alpha 90.00
_cell_angle_beta 90.00
_cell_angle_gamma 90.00
_symmetry_space_group_name_H-M 'P m m a'
_symmetry_Int_Tables_number 51
loop_
_symmetry_equiv_pos_as_xyz
'x,y,z'
'-x,-y,-z'
'-x+1/2,-y,z'
'x+1/2,y,-z'
'x+1/2,-y,-z'
'-x+1/2,y,z'
'-x,y,-z'
'x,-y,z'
loop_
_atom_site_label
_atom_site_type_symbol
_atom_site_fract_x
_atom_site_fract_y
_atom_site_fract_z
Tb1 Tb 0.000 0.000 0.000
Tb2 Tb 0.250 0.500 0.291
Bi1 Bi 0.250 0.000 0.472
Bi2 Bi 0.250 0.500 0.799
```